# HfNbI6

An optimized crystal structure of HfNbI6 (PBE, the Open Quantum Materials Database).

a = 7.7071 Å, b = 7.7071 Å, c = 6.5290 Å
α = 90.00°, β = 90.00°, γ = 120.00°
Element x y z (fractional)
I 0.0000 0.6930 0.7505
Hf 0.0000 0.0000 0.0000
Nb 0.0000 0.0000 0.5000
I 0.3070 0.0000 0.2495
I 0.3070 0.3070 0.7505
I 0.0000 0.3070 0.2495
I 0.6930 0.0000 0.7505
I 0.6930 0.6930 0.2495

Results
- uncorrected energy (eV per cell) = -34.764

***

# HfPaI

An optimized crystal structure of HfPaI (PBE, the Open Quantum Materials Database).

a = 7.8980 Å, b = 7.8980 Å, c = 4.6460 Å
α = 90.00°, β = 90.00°, γ = 120.00°
Element x y z (fractional)
Pa 0.0000 0.0000 0.0000
Hf 0.0005 0.4995 0.0000
I 0.2567 0.0000 0.5000
I 0.7433 0.7433 0.5000
Hf 0.4989 0.9995 0.0000
Pa 0.3333 0.6667 0.5000
Pa 0.6667 0.3333 0.5000
Hf 0.5005 0.5011 0.0000
I 0.0000 0.2567 0.5000

Results
- uncorrected energy (eV per cell) = -57.472

***

# HfIn2

An optimized crystal structure of HfIn2 (PBE, the Open Quantum Materials Database).

a = 5.7221 Å, b = 5.7221 Å, c = 5.7221 Å
α = 60.00°, β = 60.00°, γ = 60.00°
Element x y z (fractional)
In 0.6250 0.6250 0.1250
In 0.6250 0.6250 0.6250
Hf 0.2500 0.2500 0.2500
Hf 0.0000 0.0000 0.0000
In 0.6250 0.1250 0.6250
In 0.1250 0.6250 0.6250

Results
- uncorrected energy (eV per cell) = -29.926

***

# HfIn

An optimized crystal structure of HfIn (PBE, the Open Quantum Materials Database).

a = 4.6058 Å, b = 4.6058 Å, c = 4.6058 Å
α = 60.00°, β = 60.00°, γ = 60.00°
Element x y z (fractional)
Hf 0.0000 0.0000 0.0000
In 0.2500 0.2500 0.2500

Results
- uncorrected energy (eV per cell) = -9.946

***

# HfIn

An optimized crystal structure of HfIn (PBE, the Open Quantum Materials Database).

a = 4.0990 Å, b = 4.0990 Å, c = 4.0990 Å
α = 60.00°, β = 60.00°, γ = 60.00°
Element x y z (fractional)
In 0.5000 0.5000 0.5000
Hf 0.0000 0.0000 0.0000

Results
- uncorrected energy (eV per cell) = -11.989

***

# HfInIr2

An optimized crystal structure of HfInIr2 (PBE, the Open Quantum Materials Database).

a = 4.8561 Å, b = 5.3071 Å, c = 5.5530 Å
α = 89.27°, β = 89.56°, γ = 88.59°
Element x y z (fractional)
Ir 0.2464 0.6495 0.4848
In 0.2580 0.1474 0.3222
Ir 0.7422 0.7646 0.1890
Hf 0.7564 0.2879 0.0252
Ir 0.2578 0.2354 0.8110
In 0.7420 0.8526 0.6778
Hf 0.2436 0.7121 0.9748
Ir 0.7536 0.3505 0.5152

Results
- uncorrected energy (eV per cell) = -64.262

***

# HfInIr2

An optimized crystal structure of HfInIr2 (PBE, the Open Quantum Materials Database).

a = 4.6277 Å, b = 4.6277 Å, c = 4.6277 Å
α = 60.00°, β = 60.00°, γ = 60.00°
Element x y z (fractional)
In 0.5000 0.5000 0.5000
Ir 0.0000 0.0000 0.0000
Hf 0.2500 0.2500 0.2500
Ir 0.7500 0.7500 0.7500

Results
- uncorrected energy (eV per cell) = -30.720

***

# Hf2InIr

An optimized crystal structure of Hf2InIr (PBE, the Open Quantum Materials Database).

a = 4.7664 Å, b = 4.7664 Å, c = 4.7664 Å
α = 60.00°, β = 60.00°, γ = 60.00°
Element x y z (fractional)
Hf 0.7500 0.7500 0.7500
In 0.5000 0.5000 0.5000
Ir 0.2500 0.2500 0.2500
Hf 0.0000 0.0000 0.0000

Results
- uncorrected energy (eV per cell) = -32.121

***

# Li2Hf2In2IrPd

An optimized crystal structure of Li2Hf2In2IrPd (PBE, the Open Quantum Materials Database).

a = 4.5955 Å, b = 4.5955 Å, c = 6.5010 Å
α = 90.00°, β = 90.00°, γ = 90.00°
Element x y z (fractional)
Ir 0.5000 0.5000 0.0000
Li 0.0000 0.0000 0.0000
In 0.0000 0.5000 0.7482
In 0.5000 0.0000 0.2518
Hf 0.0000 0.5000 0.2410
Hf 0.5000 0.0000 0.7590
Pd 0.0000 0.0000 0.5000
Li 0.5000 0.5000 0.5000

Results
- uncorrected energy (eV per cell) = -47.572

***

# Li2HfZnIn2Ir2

An optimized crystal structure of Li2HfZnIn2Ir2 (PBE, the Open Quantum Materials Database).

a = 4.5244 Å, b = 4.5244 Å, c = 6.4318 Å
α = 90.00°, β = 90.00°, γ = 90.00°
Element x y z (fractional)
In 0.0000 0.0000 0.0000
In 0.5000 0.5000 0.5000
Ir 0.5000 0.0000 0.7539
Zn 0.0000 0.0000 0.5000
Li 0.5000 0.0000 0.2819
Li 0.0000 0.5000 0.7181
Hf 0.5000 0.5000 0.0000
Ir 0.0000 0.5000 0.2461

Results
- uncorrected energy (eV per cell) = -41.743

***

# HfInNiIr

An optimized crystal structure of HfInNiIr (PBE, the Open Quantum Materials Database).

a = 4.5644 Å, b = 4.5644 Å, c = 4.5644 Å
α = 60.00°, β = 60.00°, γ = 60.00°
Element x y z (fractional)
Ni 0.7500 0.7500 0.7500
Hf 0.2500 0.2500 0.2500
Ir 0.5000 0.5000 0.5000
In 0.0000 0.0000 0.0000

Results
- uncorrected energy (eV per cell) = -27.704

***

# TmHf2In3Ir2

An optimized crystal structure of TmHf2In3Ir2 (PBE, the Open Quantum Materials Database).

a = 3.2998 Å, b = 7.6290 Å, c = 7.6290 Å
α = 120.63°, β = 90.00°, γ = 90.00°
Element x y z (fractional)
Ir 0.0000 0.3308 0.6757
In 0.0000 0.2300 0.9969
In 0.0000 0.7707 0.7707
Tm 0.5000 0.4193 0.4193
Hf 0.5000 0.5761 0.0004
Ir 0.0000 0.6757 0.3308
In 0.0000 0.9969 0.2300
Hf 0.5000 0.0004 0.5761

Results
- uncorrected energy (eV per cell) = -55.186